[1]
# GeMo2OsN, relaxed, DFT PBE-GGA
data_GeMo2OsN
_chemical_formula_sum 'Ge1 Mo2 Os1 N1'
_cell_length_a 4.943
_cell_length_b 4.943
_cell_length_c 3.666
_cell_angle_alpha 90.00
_cell_angle_beta 90.00
_cell_angle_gamma 90.00
_symmetry_space_group_name_H-M 'P 4/m m m'
_symmetry_Int_Tables_number 123
_symmetry_space_group_name_Hall '-P 4 2'
loop_
_atom_site_label
_atom_site_fract_x
_atom_site_fract_y
_atom_site_fract_z
Ge1 0.000 0.000 0.000
Mo1 0.000 0.500 0.500
Os1 0.500 0.500 0.500
N1 0.500 0.500 0.000
# final energy = -7.878 eV/atom
# energy relative to the elements, uncorrected = 1289 meV per atom
# calculated density = 8.69 Mg/m³



[2]
# Pr2GeMoN5, relaxed, DFT PBE-GGA
data_Pr2GeMoN5
_chemical_formula_sum 'Pr8 Ge4 Mo4 N20'
_cell_length_a 3.244
_cell_length_b 14.480
_cell_length_c 10.300
_cell_angle_alpha 90.00
_cell_angle_beta 90.00
_cell_angle_gamma 90.00
_symmetry_space_group_name_H-M 'C m c 21'
_symmetry_Int_Tables_number 36
loop_
_symmetry_equiv_pos_as_xyz
'x,y,z'
'-x,-y,z+1/2'
'-x,y,z'
'x,-y,z+1/2'
'x+1/2,y+1/2,z'
'-x+1/2,-y+1/2,z+1/2'
'-x+1/2,y+1/2,z'
'x+1/2,-y+1/2,z+1/2'
loop_
_atom_site_label
_atom_site_fract_x
_atom_site_fract_y
_atom_site_fract_z
Pr1 0.000 0.113 0.000
Pr2 0.000 0.132 0.595
Ge1 0.000 0.450 0.759
Mo1 0.000 0.225 0.317
N1 0.000 0.046 0.355
N2 0.000 0.287 0.950
N3 0.000 0.318 0.686
N4 0.000 0.349 0.305
N5 0.000 0.498 0.095
# final energy = -8.094 eV/atom
# energy relative to the elements, uncorrected = -690 meV per atom
# calculated density = 7.14 Mg/m³



[3]
# GeMoSN2, relaxed, DFT PBE-GGA
data_GeMoSN2
_chemical_formula_sum 'Ge1 Mo1 S1 N2'
_cell_length_a 3.913
_cell_length_b 3.913
_cell_length_c 5.034
_cell_angle_alpha 90.00
_cell_angle_beta 90.00
_cell_angle_gamma 90.00
_symmetry_space_group_name_H-M 'P 4/m m m'
_symmetry_Int_Tables_number 123
_symmetry_space_group_name_Hall '-P 4 2'
loop_
_atom_site_label
_atom_site_fract_x
_atom_site_fract_y
_atom_site_fract_z
Ge1 0.000 0.000 0.000
Mo1 0.500 0.500 0.500
S1 0.500 0.500 0.000
N1 0.000 0.500 0.500
# ΔE to the lowest computed polymorph = 0.0000 eV per atom
# final energy = -6.868 eV/atom
# energy relative to the elements, uncorrected = 378 meV per atom
# calculated density = 4.93 Mg/m³



[4]
# GeMoSN2, relaxed, DFT PBE-GGA
data_GeMoSN2
_chemical_formula_sum 'Ge1 Mo1 S1 N2'
_cell_length_a 3.765
_cell_length_b 3.765
_cell_length_c 4.778
_cell_angle_alpha 90.00
_cell_angle_beta 90.00
_cell_angle_gamma 90.00
_symmetry_space_group_name_H-M 'P 4/m m m'
_symmetry_Int_Tables_number 123
_symmetry_space_group_name_Hall '-P 4 2'
loop_
_atom_site_label
_atom_site_fract_x
_atom_site_fract_y
_atom_site_fract_z
Ge1 0.000 0.000 0.000
Mo1 0.500 0.500 0.500
S1 0.000 0.000 0.500
N1 0.000 0.500 0.000
# ΔE to the lowest computed polymorph = 0.8737 eV per atom
# final energy = -5.994 eV/atom
# energy relative to the elements, uncorrected = 1251 meV per atom
# calculated density = 5.61 Mg/m³



[5]
# ScGeMoN2, relaxed, DFT PBE-GGA
data_ScGeMoN2
_chemical_formula_sum 'Sc1 Ge1 Mo1 N2'
_cell_length_a 3.939
_cell_length_b 3.939
_cell_length_c 5.104
_cell_angle_alpha 90.00
_cell_angle_beta 90.00
_cell_angle_gamma 90.00
_symmetry_space_group_name_H-M 'P 4/m m m'
_symmetry_Int_Tables_number 123
_symmetry_space_group_name_Hall '-P 4 2'
loop_
_atom_site_label
_atom_site_fract_x
_atom_site_fract_y
_atom_site_fract_z
Sc1 0.000 0.000 0.000
Ge1 0.500 0.500 0.000
Mo1 0.500 0.500 0.500
N1 0.000 0.500 0.500
# final energy = -7.529 eV/atom
# energy relative to the elements, uncorrected = 157 meV per atom
# calculated density = 5.07 Mg/m³



[6]
# GeMoSeN2, relaxed, DFT PBE-GGA
data_GeMoSeN2
_chemical_formula_sum 'Ge1 Mo1 Se1 N2'
_cell_length_a 3.801
_cell_length_b 3.801
_cell_length_c 5.164
_cell_angle_alpha 90.00
_cell_angle_beta 90.00
_cell_angle_gamma 90.00
_symmetry_space_group_name_H-M 'P 4/m m m'
_symmetry_Int_Tables_number 123
_symmetry_space_group_name_Hall '-P 4 2'
loop_
_atom_site_label
_atom_site_fract_x
_atom_site_fract_y
_atom_site_fract_z
Ge1 0.000 0.000 0.000
Mo1 0.500 0.500 0.500
Se1 0.000 0.000 0.500
N1 0.000 0.500 0.000
# ΔE to the lowest computed polymorph = 0.9401 eV per atom
# final energy = -5.748 eV/atom
# energy relative to the elements, uncorrected = 1369 meV per atom
# calculated density = 6.13 Mg/m³



[7]
# GeMoSeN2, relaxed, DFT PBE-GGA
data_GeMoSeN2
_chemical_formula_sum 'Ge1 Mo1 Se1 N2'
_cell_length_a 3.936
_cell_length_b 3.936
_cell_length_c 5.299
_cell_angle_alpha 90.00
_cell_angle_beta 90.00
_cell_angle_gamma 90.00
_symmetry_space_group_name_H-M 'P 4/m m m'
_symmetry_Int_Tables_number 123
_symmetry_space_group_name_Hall '-P 4 2'
loop_
_atom_site_label
_atom_site_fract_x
_atom_site_fract_y
_atom_site_fract_z
Ge1 0.000 0.000 0.000
Mo1 0.500 0.500 0.500
Se1 0.500 0.500 0.000
N1 0.000 0.500 0.500
# ΔE to the lowest computed polymorph = 0.0000 eV per atom
# final energy = -6.688 eV/atom
# energy relative to the elements, uncorrected = 428 meV per atom
# calculated density = 5.57 Mg/m³



[8]
# GeMoSe2N, relaxed, DFT PBE-GGA
data_GeMoSe2N
_chemical_formula_sum 'Ge1 Mo1 Se2 N1'
_cell_length_a 5.134
_cell_length_b 5.134
_cell_length_c 3.521
_cell_angle_alpha 90.00
_cell_angle_beta 90.00
_cell_angle_gamma 90.00
_symmetry_space_group_name_H-M 'P 4/m m m'
_symmetry_Int_Tables_number 123
_symmetry_space_group_name_Hall '-P 4 2'
loop_
_atom_site_label
_atom_site_fract_x
_atom_site_fract_y
_atom_site_fract_z
Ge1 0.000 0.000 0.000
Mo1 0.500 0.500 0.500
Se1 0.000 0.500 0.000
N1 0.000 0.000 0.500
# ΔE to the lowest computed polymorph = 0.7579 eV per atom
# final energy = -5.187 eV/atom
# energy relative to the elements, uncorrected = 961 meV per atom
# calculated density = 6.09 Mg/m³



[9]
# GeMoSe2N, relaxed, DFT PBE-GGA
data_GeMoSe2N
_chemical_formula_sum 'Ge1 Mo1 Se2 N1'
_cell_length_a 5.110
_cell_length_b 5.110
_cell_length_c 3.795
_cell_angle_alpha 90.00
_cell_angle_beta 90.00
_cell_angle_gamma 90.00
_symmetry_space_group_name_H-M 'P 4/m m m'
_symmetry_Int_Tables_number 123
_symmetry_space_group_name_Hall '-P 4 2'
loop_
_atom_site_label
_atom_site_fract_x
_atom_site_fract_y
_atom_site_fract_z
Ge1 0.000 0.000 0.000
Mo1 0.500 0.500 0.500
Se1 0.000 0.500 0.500
N1 0.500 0.500 0.000
# ΔE to the lowest computed polymorph = 0.0000 eV per atom
# final energy = -5.945 eV/atom
# energy relative to the elements, uncorrected = 203 meV per atom
# calculated density = 5.71 Mg/m³



[10]
# SiGe2MoN, relaxed, DFT PBE-GGA
data_SiGe2MoN
_chemical_formula_sum 'Si1 Ge2 Mo1 N1'
_cell_length_a 4.610
_cell_length_b 4.610
_cell_length_c 4.727
_cell_angle_alpha 90.00
_cell_angle_beta 90.00
_cell_angle_gamma 90.00
_symmetry_space_group_name_H-M 'P 4/m m m'
_symmetry_Int_Tables_number 123
_symmetry_space_group_name_Hall '-P 4 2'
loop_
_atom_site_label
_atom_site_fract_x
_atom_site_fract_y
_atom_site_fract_z
Si1 0.000 0.000 0.000
Ge1 0.000 0.500 0.000
Mo1 0.000 0.000 0.500
N1 0.500 0.500 0.500
# final energy = -4.866 eV/atom
# energy relative to the elements, uncorrected = 1897 meV per atom
# calculated density = 4.68 Mg/m³



[11]
# SnGeMo2N, relaxed, DFT PBE-GGA
data_SnGeMo2N
_chemical_formula_sum 'Sn1 Ge1 Mo2 N1'
_cell_length_a 5.024
_cell_length_b 5.024
_cell_length_c 4.952
_cell_angle_alpha 90.00
_cell_angle_beta 90.00
_cell_angle_gamma 90.00
_symmetry_space_group_name_H-M 'P 4/m m m'
_symmetry_Int_Tables_number 123
_symmetry_space_group_name_Hall '-P 4 2'
loop_
_atom_site_label
_atom_site_fract_x
_atom_site_fract_y
_atom_site_fract_z
Sn1 0.000 0.000 0.000
Ge1 0.000 0.000 0.500
Mo1 0.000 0.500 0.000
N1 0.500 0.500 0.500
# final energy = -4.620 eV/atom
# energy relative to the elements, uncorrected = 3101 meV per atom
# calculated density = 5.28 Mg/m³



[12]
# GeTe2MoN, relaxed, DFT PBE-GGA
data_GeTe2MoN
_chemical_formula_sum 'Ge1 Te2 Mo1 N1'
_cell_length_a 5.580
_cell_length_b 5.580
_cell_length_c 3.506
_cell_angle_alpha 90.00
_cell_angle_beta 90.00
_cell_angle_gamma 90.00
_symmetry_space_group_name_H-M 'P 4/m m m'
_symmetry_Int_Tables_number 123
_symmetry_space_group_name_Hall '-P 4 2'
loop_
_atom_site_label
_atom_site_fract_x
_atom_site_fract_y
_atom_site_fract_z
Ge1 0.000 0.000 0.000
Te1 0.000 0.500 0.000
Mo1 0.500 0.500 0.500
N1 0.000 0.000 0.500
# ΔE to the lowest computed polymorph = 0.7318 eV per atom
# final energy = -4.966 eV/atom
# energy relative to the elements, uncorrected = 1046 meV per atom
# calculated density = 6.66 Mg/m³



[13]
# GeTeMoN2, relaxed, DFT PBE-GGA
data_GeTeMoN2
_chemical_formula_sum 'Ge1 Te1 Mo1 N2'
_cell_length_a 3.802
_cell_length_b 3.802
_cell_length_c 6.848
_cell_angle_alpha 90.00
_cell_angle_beta 90.00
_cell_angle_gamma 90.00
_symmetry_space_group_name_H-M 'P 4/m m m'
_symmetry_Int_Tables_number 123
_symmetry_space_group_name_Hall '-P 4 2'
loop_
_atom_site_label
_atom_site_fract_x
_atom_site_fract_y
_atom_site_fract_z
Ge1 0.000 0.000 0.000
Te1 0.000 0.000 0.500
Mo1 0.500 0.500 0.500
N1 0.000 0.500 0.000
# ΔE to the lowest computed polymorph = 0.9819 eV per atom
# final energy = -5.477 eV/atom
# energy relative to the elements, uncorrected = 1571 meV per atom
# calculated density = 5.44 Mg/m³



[14]
# GeTe2MoN, relaxed, DFT PBE-GGA
data_GeTe2MoN
_chemical_formula_sum 'Ge1 Te2 Mo1 N1'
_cell_length_a 5.475
_cell_length_b 5.475
_cell_length_c 3.797
_cell_angle_alpha 90.00
_cell_angle_beta 90.00
_cell_angle_gamma 90.00
_symmetry_space_group_name_H-M 'P 4/m m m'
_symmetry_Int_Tables_number 123
_symmetry_space_group_name_Hall '-P 4 2'
loop_
_atom_site_label
_atom_site_fract_x
_atom_site_fract_y
_atom_site_fract_z
Ge1 0.000 0.000 0.000
Te1 0.000 0.500 0.500
Mo1 0.500 0.500 0.500
N1 0.500 0.500 0.000
# ΔE to the lowest computed polymorph = 0.0000 eV per atom
# final energy = -5.698 eV/atom
# energy relative to the elements, uncorrected = 314 meV per atom
# calculated density = 6.39 Mg/m³



| no. | total moment (Bohr magnetons per cell) |
| --- | --- |
| 1 | 1.61 |
| 2 | 0.00 |
| 3 | 0.00 |
| 4 | 2.26 |
| 5 | 0.00 |
| 6 | 2.28 |
| 7 | 0.00 |
| 8 | 3.23 |
| 9 | 0.00 |
| 10 | 0.53 |
| 11 | 0.00 |
| 12 | 3.43 |
| 13 | 3.60 |
| 14 | 0.00 |